(1)
LiMg6AlO8 | PBE | optimized geometry

Cell lengths 4.1977, 4.1977, 8.4891 Å; angles 90.00, 90.00, 90.00 degrees
Atoms (fractional coordinates):
Li1 0.0000 0.0000 0.0000
Mg1 0.0000 0.5000 0.2398
Mg2 0.0000 0.5000 0.7602
Mg3 0.5000 0.0000 0.2398
Mg4 0.5000 0.0000 0.7602
Mg5 0.5000 0.5000 0.0000
Mg6 0.5000 0.5000 0.5000
Al1 0.0000 0.0000 0.5000
O1 0.0000 0.0000 0.2830
O2 0.0000 0.0000 0.7170
O3 0.0000 0.5000 0.0000
O4 0.0000 0.5000 0.5000
O5 0.5000 0.0000 0.0000
O6 0.5000 0.0000 0.5000
O7 0.5000 0.5000 0.2529
O8 0.5000 0.5000 0.7471

Computed properties:
The total energy comes out at -6.09 eV/atom. The excess energy over the best structure of this formula in the dataset is 0.000 eV/atom. Its crystal system is tetragonal. The uncorrected formation energy comes out at -42.51 eV/f.u. Its spin magnetization is 0.00 Bohr magnetons per cell. The value obtained for the volume is 150 Å³ per cell.


(2)
LiMgAlO2 | PBE | optimized geometry

Cell lengths 3.6568, 3.6568, 5.3589 Å; angles 90.00, 90.00, 90.00 degrees
Atoms (fractional coordinates):
Li1 0.0000 0.0000 0.0000
Mg1 0.5000 0.5000 0.0000
Al1 0.0000 0.0000 0.5000
O1 0.0000 0.5000 0.5000
O2 0.5000 0.0000 0.5000

Computed properties:
The total energy comes out at -4.35 eV/atom. Its crystal system is tetragonal. The uncorrected formation energy comes out at -4.59 eV/f.u. Its spin magnetization is 0.00 Bohr magnetons per cell. The value obtained for the volume is 72 Å³ per cell.


(3)
LiMg6AlO8 | PBE | optimized geometry

Cell lengths 4.1736, 4.1736, 8.5037 Å; angles 90.00, 90.00, 90.00 degrees
Atoms (fractional coordinates):
Li1 0.0000 0.0000 0.0000
Mg1 0.0000 0.0000 0.5000
Mg2 0.0000 0.5000 0.2429
Mg3 0.0000 0.5000 0.7571
Mg4 0.5000 0.0000 0.2429
Mg5 0.5000 0.0000 0.7571
Mg6 0.5000 0.5000 0.5000
Al1 0.5000 0.5000 0.0000
O1 0.0000 0.0000 0.2575
O2 0.0000 0.0000 0.7425
O3 0.0000 0.5000 0.0000
O4 0.0000 0.5000 0.5000
O5 0.5000 0.0000 0.0000
O6 0.5000 0.0000 0.5000
O7 0.5000 0.5000 0.2262
O8 0.5000 0.5000 0.7738

Computed properties:
The total energy comes out at -6.08 eV/atom. The excess energy over the best structure of this formula in the dataset is 0.009 eV/atom. Its crystal system is tetragonal. The uncorrected formation energy comes out at -42.37 eV/f.u. Its spin magnetization is 0.00 Bohr magnetons per cell. The value obtained for the volume is 148 Å³ per cell.


(4)
LiMgAl3Se6O24 | PBE | optimized geometry

Cell lengths 8.5235, 9.0970, 12.4608 Å; angles 84.90, 89.91, 89.73 degrees
Atoms (fractional coordinates):
Li1 0.0000 0.0000 0.0000
Li2 0.4397 0.8690 0.1234
Mg1 0.1656 0.0619 0.2384
Mg2 0.6665 0.9799 0.9394
Al1 0.1669 0.4666 0.4435
Al2 0.1674 0.4900 0.9473
Al3 0.1700 0.0720 0.7385
Al4 0.6661 0.5605 0.7337
Al5 0.6704 0.9851 0.4538
Al6 0.6709 0.5694 0.2451
Se1 0.0202 0.1294 0.4900
Se2 0.0259 0.4254 0.1978
Se3 0.3086 0.1353 0.9778
Se4 0.3179 0.4077 0.6987
Se5 0.3828 0.7629 0.3441
Se6 0.4590 0.2715 0.3443
Se7 0.5237 0.6236 0.9881
Se8 0.5243 0.9111 0.6966
Se9 0.8011 0.9124 0.2041
Se10 0.8126 0.6288 0.4876
Se11 0.8906 0.2833 0.8384
Se12 0.9607 0.7747 0.8403
O1 0.0009 0.6112 0.4534
O2 0.0058 0.2212 0.7430
O3 0.0148 0.3140 0.4611
O4 0.0236 0.9111 0.7526
O5 0.0495 0.2484 0.1866
O6 0.0593 0.5256 0.0814
O7 0.0853 0.0410 0.3898
O8 0.1155 0.6881 0.8986
O9 0.1455 0.0818 0.5901
O10 0.1486 0.4884 0.2891
O11 0.1780 0.0614 0.8940
O12 0.1949 0.4627 0.5986
O13 0.2435 0.8464 0.2697
O14 0.2502 0.3027 0.0005
O15 0.2597 0.4883 0.8065
O16 0.2794 0.0239 0.0897
O17 0.3197 0.6269 0.4311
O18 0.3248 0.2237 0.7256
O19 0.3351 0.3281 0.4379
O20 0.3383 0.9301 0.7364
O21 0.3441 0.5629 0.0187
O22 0.3736 0.1616 0.2644
O23 0.4829 0.8776 0.4137
O24 0.4917 0.1358 0.9377
O25 0.5001 0.4583 0.6674
O26 0.5008 0.7077 0.2434
O27 0.5056 0.8077 0.9744
O28 0.5265 0.4130 0.2633
O29 0.5474 0.7303 0.6851
O30 0.5487 0.0062 0.5775
O31 0.5923 0.5530 0.8794
O32 0.6054 0.1857 0.4124
O33 0.6468 0.5701 0.0881
O34 0.6548 0.9714 0.7797
O35 0.6645 0.9616 0.1118
O36 0.6871 0.5639 0.3999
O37 0.7346 0.3605 0.7775
O38 0.7590 0.9969 0.3134
O39 0.7799 0.5330 0.6050
O40 0.7845 0.8082 0.4990
O41 0.8175 0.7292 0.2302
O42 0.8377 0.0807 0.5247
O43 0.8378 0.1463 0.9292
O44 0.8392 0.4399 0.2367
O45 0.8533 0.6670 0.7697
O46 0.8645 0.8430 0.9428
O47 0.9747 0.9695 0.1566
O48 0.9768 0.4099 0.9068

Computed properties:
The total energy comes out at -5.72 eV/atom. Its crystal system is triclinic. The uncorrected formation energy comes out at -45.47 eV/f.u. Its spin magnetization is 0.00 Bohr magnetons per cell. The value obtained for the volume is 962 Å³ per cell.


(5)
LiMgAl2P | PBE | optimized geometry

Cell lengths 4.8321, 4.8321, 4.5376 Å; angles 90.00, 90.00, 90.00 degrees
Atoms (fractional coordinates):
Li1 0.0000 0.0000 0.0000
Mg1 0.5000 0.5000 0.0000
Al1 0.0000 0.5000 0.5000
Al2 0.5000 0.0000 0.5000
P1 0.0000 0.0000 0.5000

Computed properties:
The total energy comes out at -3.16 eV/atom. The energy of formation from the pure elements is 0.1181 eV per atom. Its crystal system is tetragonal. Its spin magnetization is 0.00 Bohr magnetons per cell. The value obtained for the volume is 106 Å³ per cell.


(6)
LiMgPaAl | PBE | optimized geometry

Cell lengths 4.8891, 4.8891, 4.8891 Å; angles 60.00, 60.00, 60.00 degrees
Atoms (fractional coordinates):
Li1 0.0000 0.0000 0.0000
Mg1 0.2500 0.2500 0.2500
Pa1 0.7500 0.7500 0.7500
Al1 0.5000 0.5000 0.5000

Computed properties:
The total energy comes out at -4.02 eV/atom. The energy of formation from the pure elements is 0.1657 eV per atom. Its crystal system is cubic. Its spin magnetization is 0.80 Bohr magnetons per cell. The value obtained for the volume is 83 Å³ per cell.


(7)
LiMgAl2Pd2 | PBE | optimized geometry

Cell lengths 4.4131, 4.4131, 5.3335 Å; angles 90.00, 90.00, 120.00 degrees
Atoms (fractional coordinates):
Li1 0.0000 0.0000 0.0000
Mg1 0.0000 0.0000 0.5000
Al1 0.3333 0.6667 0.8272
Al2 0.6667 0.3333 0.1728
Pd1 0.3333 0.6667 0.3119
Pd2 0.6667 0.3333 0.6881

Computed properties:
The total energy comes out at -4.26 eV/atom. The energy of formation from the pure elements is -0.7010 eV per atom. Its crystal system is trigonal. Its spin magnetization is 0.00 Bohr magnetons per cell. The value obtained for the volume is 90 Å³ per cell.


(8)
Li2MgAl2Pd2 | PBE | optimized geometry

Cell lengths 4.3893, 4.3893, 6.8828 Å; angles 108.82, 108.82, 59.96 degrees
Atoms (fractional coordinates):
Li1 0.1469 0.1469 0.4407
Li2 0.8531 0.8531 0.5593
Mg1 0.0000 0.0000 0.0000
Al1 0.4222 0.4222 0.2664
Al2 0.5778 0.5778 0.7336
Pd1 0.2831 0.2831 0.8499
Pd2 0.7169 0.7169 0.1501

Computed properties:
The total energy comes out at -3.93 eV/atom. The energy of formation from the pure elements is -0.6037 eV per atom. Its crystal system is monoclinic. Its spin magnetization is 0.00 Bohr magnetons per cell. The value obtained for the volume is 107 Å³ per cell.


(9)
LiPm4MgAl2 | PBE | optimized geometry

Cell lengths 9.1817, 9.1817, 9.1817 Å; angles 33.56, 33.56, 33.56 degrees
Atoms (fractional coordinates):
Li1 0.0000 0.0000 0.0000
Pm1 0.1235 0.1235 0.1235
Pm2 0.3736 0.3736 0.3736
Pm3 0.6264 0.6264 0.6264
Pm4 0.8765 0.8765 0.8765
Mg1 0.5000 0.5000 0.5000
Al1 0.2492 0.2492 0.2492
Al2 0.7508 0.7508 0.7508

Computed properties:
The total energy comes out at -3.98 eV/atom. The energy of formation from the pure elements is -0.2345 eV per atom. Its crystal system is trigonal. Its spin magnetization is 0.00 Bohr magnetons per cell. The value obtained for the volume is 211 Å³ per cell.


(10)
Li2Pm2MgAl5 | PBE | optimized geometry

Cell lengths 9.4988, 9.4988, 4.3442 Å; angles 90.00, 90.00, 90.00 degrees
Atoms (fractional coordinates):
Li1 0.1106 0.3894 0.0000
Li2 0.3894 0.8894 0.0000
Li3 0.6106 0.1106 0.0000
Li4 0.8894 0.6106 0.0000
Pm1 0.1836 0.6836 0.0000
Pm2 0.3164 0.1836 0.0000
Pm3 0.6836 0.8164 0.0000
Pm4 0.8164 0.3164 0.0000
Mg1 0.0000 0.0000 0.0000
Mg2 0.5000 0.5000 0.0000
Al1 0.0000 0.5000 0.5000
Al2 0.0592 0.2086 0.5000
Al3 0.2086 0.9408 0.5000
Al4 0.2914 0.4408 0.5000
Al5 0.4408 0.7086 0.5000
Al6 0.5000 0.0000 0.5000
Al7 0.5592 0.2914 0.5000
Al8 0.7086 0.5592 0.5000
Al9 0.7914 0.0592 0.5000
Al10 0.9408 0.7914 0.5000

Computed properties:
The total energy comes out at -3.66 eV/atom. The energy of formation from the pure elements is -0.3007 eV per atom. Its crystal system is tetragonal. Its spin magnetization is 0.00 Bohr magnetons per cell. The value obtained for the volume is 392 Å³ per cell.


(11)
LiPmMgAl | PBE | optimized geometry

Cell lengths 4.9972, 4.9972, 4.9972 Å; angles 60.00, 60.00, 60.00 degrees
Atoms (fractional coordinates):
Li1 0.0000 0.0000 0.0000
Pm1 0.2500 0.2500 0.2500
Mg1 0.7500 0.7500 0.7500
Al1 0.5000 0.5000 0.5000

Computed properties:
The total energy comes out at -3.23 eV/atom. The energy of formation from the pure elements is -0.2298 eV per atom. Its crystal system is cubic. Its spin magnetization is 0.00 Bohr magnetons per cell. The value obtained for the volume is 88 Å³ per cell.


(12)
LiMgAl2Pt2 | PBE | optimized geometry

Cell lengths 4.3901, 4.3901, 5.3775 Å; angles 90.00, 90.00, 120.00 degrees
Atoms (fractional coordinates):
Li1 0.0000 0.0000 0.0000
Mg1 0.0000 0.0000 0.5000
Al1 0.3333 0.6667 0.8203
Al2 0.6667 0.3333 0.1797
Pt1 0.3333 0.6667 0.2978
Pt2 0.6667 0.3333 0.7022

Computed properties:
The total energy comes out at -4.74 eV/atom. The energy of formation from the pure elements is -0.8934 eV per atom. Its crystal system is trigonal. Its spin magnetization is 0.00 Bohr magnetons per cell. The value obtained for the volume is 90 Å³ per cell.


(13)
LiPuMgAl | PBE | optimized geometry

Cell lengths 4.9392, 4.9392, 4.9392 Å; angles 60.00, 60.00, 60.00 degrees
Atoms (fractional coordinates):
Li1 0.0000 0.0000 0.0000
Pu1 0.2500 0.2500 0.2500
Mg1 0.7500 0.7500 0.7500
Al1 0.5000 0.5000 0.5000

Computed properties:
The total energy comes out at -5.40 eV/atom. The energy of formation from the pure elements is -0.0010 eV per atom. Its crystal system is cubic. Its spin magnetization is 5.82 Bohr magnetons per cell. The value obtained for the volume is 85 Å³ per cell.


(14)
LiMgAl2S4 | PBE | optimized geometry

Cell lengths 6.8053, 6.5164, 5.6410 Å; angles 67.64, 62.32, 50.05 degrees
Atoms (fractional coordinates):
Li1 0.0000 0.0000 0.0000
Mg1 0.5029 0.5029 0.4971
Al1 0.2429 0.2429 0.2571
Al2 0.7429 0.7429 0.7571
S1 0.1282 0.6257 0.3743
S2 0.3930 0.9003 0.6070
S3 0.6257 0.1282 0.8718
S4 0.9003 0.3930 0.0997

Computed properties:
The total energy comes out at -4.50 eV/atom. Its crystal system is orthorhombic. The uncorrected formation energy comes out at -8.48 eV/f.u. Its spin magnetization is 0.00 Bohr magnetons per cell. The value obtained for the volume is 169 Å³ per cell.


(15)
LiMgAlSb2 | PBE | optimized geometry

Cell lengths 5.3306, 5.3306, 4.8785 Å; angles 90.00, 90.00, 90.00 degrees
Atoms (fractional coordinates):
Li1 0.0000 0.0000 0.0000
Mg1 0.5000 0.5000 0.0000
Al1 0.0000 0.0000 0.5000
Sb1 0.0000 0.5000 0.5000
Sb2 0.5000 0.0000 0.5000

Computed properties:
The total energy comes out at -2.79 eV/atom. Its crystal system is tetragonal. The uncorrected formation energy comes out at 1.52 eV/f.u. Its spin magnetization is 0.00 Bohr magnetons per cell. The value obtained for the volume is 139 Å³ per cell.


(16)
LiMgAl2Se4 | PBE | optimized geometry

Cell lengths 7.1806, 6.8862, 5.9735 Å; angles 67.46, 62.34, 50.20 degrees
Atoms (fractional coordinates):
Li1 0.0000 0.0000 0.0000
Mg1 0.4967 0.4967 0.5033
Al1 0.2558 0.2558 0.2442
Al2 0.7558 0.7558 0.7442
Se1 0.1001 0.6089 0.8999
Se2 0.3703 0.8696 0.1304
Se3 0.6089 0.1001 0.3911
Se4 0.8696 0.3703 0.6297

Computed properties:
The total energy comes out at -4.03 eV/atom. Its crystal system is orthorhombic. The uncorrected formation energy comes out at -7.28 eV/f.u. Its spin magnetization is 0.00 Bohr magnetons per cell. The value obtained for the volume is 199 Å³ per cell.


(17)
LiMgAlSe2 | PBE | optimized geometry

Cell lengths 5.0234, 5.0234, 4.7490 Å; angles 90.00, 90.00, 90.00 degrees
Atoms (fractional coordinates):
Li1 0.0000 0.0000 0.0000
Mg1 0.5000 0.5000 0.0000
Al1 0.0000 0.0000 0.5000
Se1 0.0000 0.5000 0.5000
Se2 0.5000 0.0000 0.5000

Computed properties:
The total energy comes out at -2.86 eV/atom. Its crystal system is tetragonal. The uncorrected formation energy comes out at -0.06 eV/f.u. Its spin magnetization is 0.00 Bohr magnetons per cell. The value obtained for the volume is 120 Å³ per cell.


(18)
SrLiMgAl | PBE | optimized geometry

Cell lengths 5.2122, 5.2122, 5.2122 Å; angles 60.00, 60.00, 60.00 degrees
Atoms (fractional coordinates):
Sr1 0.0000 0.0000 0.0000
Li1 0.2500 0.2500 0.2500
Mg1 0.5000 0.5000 0.5000
Al1 0.7500 0.7500 0.7500

Computed properties:
The total energy comes out at -2.32 eV/atom. The energy of formation from the pure elements is -0.0858 eV per atom. Its crystal system is cubic. Its spin magnetization is 0.00 Bohr magnetons per cell. The value obtained for the volume is 100 Å³ per cell.


(19)
Sr2Li12Mg3Al | PBE | optimized geometry

Cell lengths 14.2283, 14.2283, 14.2283 Å; angles 25.04, 25.04, 25.04 degrees
Atoms (fractional coordinates):
Sr1 0.1472 0.1472 0.1472
Sr2 0.8528 0.8528 0.8528
Li1 0.1034 0.1034 0.6252
Li2 0.1034 0.6252 0.1034
Li3 0.1269 0.6002 0.6002
Li4 0.3748 0.8966 0.8966
Li5 0.3998 0.3998 0.8731
Li6 0.3998 0.8731 0.3998
Li7 0.6002 0.1269 0.6002
Li8 0.6002 0.6002 0.1269
Li9 0.6252 0.1034 0.1034
Li10 0.8731 0.3998 0.3998
Li11 0.8966 0.3748 0.8966
Li12 0.8966 0.8966 0.3748
Mg1 0.0000 0.5000 0.5000
Mg2 0.5000 0.0000 0.5000
Mg3 0.5000 0.5000 0.0000
Al1 0.5000 0.5000 0.5000

Computed properties:
The total energy comes out at -1.86 eV/atom. The energy of formation from the pure elements is 0.0788 eV per atom. Its crystal system is trigonal. Its spin magnetization is 0.00 Bohr magnetons per cell. The value obtained for the volume is 454 Å³ per cell.


(20)
LiMgAlTl | PBE | optimized geometry

Cell lengths 4.8865, 4.8865, 4.8865 Å; angles 60.00, 60.00, 60.00 degrees
Atoms (fractional coordinates):
Li1 0.0000 0.0000 0.0000
Mg1 0.5000 0.5000 0.5000
Al1 0.7500 0.7500 0.7500
Tl1 0.2500 0.2500 0.2500

Computed properties:
The total energy comes out at -2.42 eV/atom. The energy of formation from the pure elements is -0.0177 eV per atom. Its crystal system is cubic. Its spin magnetization is 0.00 Bohr magnetons per cell. The value obtained for the volume is 83 Å³ per cell.